CrGaIrOs PBE-GGA optimized geometry; symmetry = F-43m; total energy = -8.3252 eV/atom; theoretical density = 15.08 g cm⁻³; magnetic moment = 2.0 μB/f.u.; formation energy from the elements = -0.6 eV per formula unit; Fermi-level density of states = 2.332 states/eV/cell
1.0
0.000 3.028 3.028
3.028 0.000 3.028
3.028 3.028 0.000
Cr Ga Ir Os
1 1 1 1
Cartesian
0.000 0.000 0.000 Cr
3.028 3.028 3.028 Ga
1.514 1.514 1.514 Ir
4.542 4.542 4.542 Os


CrGaIrOs2 PBE-GGA optimized geometry; symmetry = P4/mmm; total energy = -7.0275 eV/atom; theoretical density = 10.94 g cm⁻³; magnetic moment = 3.2 μB/f.u.; formation energy from the elements = 8.8 eV per formula unit; Fermi-level density of states = 6.896 states/eV/cell
1.0
4.736 0.000 0.000
0.000 4.736 0.000
0.000 0.000 4.699
Cr Ga Ir Os
1 1 1 2
Cartesian
0.000 0.000 0.000 Cr
2.368 2.368 0.000 Ga
0.000 0.000 2.350 Ir
0.000 2.368 2.350 Os
2.368 0.000 2.350 Os